Below is a relaxed MgScB3 crystal, with properties calculated at the PBE level.

**DOS(E_F)**: 0.602 states/eV per atom
**Relative energy among the computed polymorphs**: 160 meV per atom
**Space-group type**: Pm-3m, No. 221
**Magnetic moment**: 0.000 μB/atom
**Crystal system**: cubic

a = 4.3583 Å, b = 4.3583 Å, c = 4.3583 Å
α = 90.00°, β = 90.00°, γ = 90.00°
With the nearest neighbours (Å) after each atom.
Element x y z (fractional)
1 Sc 0.0000 0.0000 0.0000  6 B 2.18
2 B 0.5000 0.0000 0.0000  2 Sc 2.18
3 B 0.0000 0.0000 0.5000  2 Sc 2.18
4 B 0.0000 0.5000 0.0000  2 Sc 2.18
5 Mg 0.5000 0.5000 0.5000  12 B 3.08